Record 1
Compound: SrAlSe2
Source: the Alexandria database
Functional: meta-GGA SCAN
Structure: PBEsol geometry

Results
Uncorrected energy (eV per atom): -18.877
Uncorrected formation energy (meV per atom): -1331
M_tot (μB/f.u.): 0.0

a = 4.110 Å, b = 4.080 Å, c = 6.271 Å
α = 106.73°, β = 90.00°, γ = 90.00°
Fractional coordinates of all 4 atoms:
Sr  0.000  0.498  0.436
Se  0.000  0.202  0.849
Se  0.500  0.940  0.303
Al  0.500  0.860  0.912


Record 2
Compound: AlSi2Ru
Source: the Alexandria database
Functional: meta-GGA SCAN
Structure: PBEsol geometry

Results
Uncorrected energy (eV per atom): -15.760
Uncorrected formation energy (meV per atom): -108
M_tot (μB/f.u.): 0.0

a = 2.952 Å, b = 4.383 Å, c = 4.383 Å
α = 109.84°, β = 90.00°, γ = 90.00°
Fractional coordinates of all 4 atoms:
Ru  0.500  0.500  0.500
Si  0.000  0.500  0.000
Si  0.000  0.000  0.500
Al  0.500  0.000  0.000


Record 3
Compound: ZrSbMo2
Source: the Alexandria database
Functional: meta-GGA SCAN
Structure: PBEsol geometry

Results
Uncorrected energy (eV per atom): -34.421
Uncorrected formation energy (meV per atom): 12
M_tot (μB/f.u.): 0.0

a = 3.451 Å, b = 3.451 Å, c = 6.064 Å
α = 90.00°, β = 90.00°, γ = 90.00°
Fractional coordinates of all 4 atoms:
Zr  0.500  0.500  0.764
Mo  0.000  0.000  0.010
Mo  0.500  0.500  0.239
Sb  0.000  0.000  0.487


Record 4
Compound: La2AlSi
Source: the Alexandria database
Functional: meta-GGA SCAN
Structure: PBEsol geometry

Results
Uncorrected energy (eV per atom): -26.191
Uncorrected formation energy (meV per atom): -197
M_tot (μB/f.u.): 0.0

a = 3.389 Å, b = 3.389 Å, c = 8.785 Å
α = 90.00°, β = 90.00°, γ = 90.00°
Fractional coordinates of all 4 atoms:
Si  0.000  0.000  0.555
La  0.500  0.500  0.320
La  0.000  0.000  0.936
Al  0.500  0.500  0.689


Record 5
Compound: CuMoIO2
Source: the Alexandria database
Functional: meta-GGA SCAN
Structure: PBEsol geometry

Results
Uncorrected energy (eV per atom): -20.639
Uncorrected formation energy (meV per atom): -782
M_tot (μB/f.u.): 0.5

a = 3.790 Å, b = 3.790 Å, c = 5.818 Å
α = 90.00°, β = 90.00°, γ = 90.00°
Fractional coordinates of all 5 atoms:
Cu  0.500  0.500  0.500
Mo  0.000  0.000  0.000
O  0.000  0.500  0.000
O  0.500  0.000  0.000
I  0.000  0.000  0.500


Record 6
Compound: CoTeRh2Pb
Source: the Alexandria database
Functional: meta-GGA SCAN
Structure: PBEsol geometry

Results
Uncorrected energy (eV per atom): -38.320
Uncorrected formation energy (meV per atom): 1256
M_tot (μB/f.u.): 1.5

a = 4.650 Å, b = 4.911 Å, c = 4.911 Å
α = 90.00°, β = 90.00°, γ = 90.00°
Fractional coordinates of all 5 atoms:
Pb  0.000  0.000  0.000
Te  0.500  0.500  0.500
Rh  0.000  0.000  0.500
Rh  0.000  0.500  0.000
Co  0.500  0.000  0.000


Record 7
Compound: BaAu3I
Source: the Alexandria database
Functional: meta-GGA SCAN
Structure: PBEsol geometry

Results
Uncorrected energy (eV per atom): -56.739
Uncorrected formation energy (meV per atom): 14
M_tot (μB/f.u.): 0.0

a = 5.334 Å, b = 5.334 Å, c = 5.334 Å
α = 90.00°, β = 90.00°, γ = 90.00°
Fractional coordinates of all 5 atoms:
I  0.000  0.000  0.000
Au  0.000  0.000  0.500
Au  0.000  0.500  0.000
Au  0.500  0.000  0.000
Ba  0.500  0.500  0.500


Record 8
Compound: K2InCuBr6
Source: the Alexandria database
Functional: meta-GGA SCAN
Structure: PBEsol geometry

Results
Uncorrected energy (eV per atom): -19.369
Uncorrected formation energy (meV per atom): -1169
M_tot (μB/f.u.): 0.0

a = 7.454 Å, b = 7.454 Å, c = 7.454 Å
α = 60.00°, β = 60.00°, γ = 60.00°
Fractional coordinates of all 10 atoms:
Br  0.744  0.256  0.744
Br  0.256  0.744  0.256
Br  0.256  0.256  0.744
Br  0.256  0.744  0.744
Br  0.744  0.256  0.256
Br  0.744  0.744  0.256
Cu  0.500  0.500  0.500
In  0.000  0.000  0.000
K  0.750  0.750  0.750
K  0.250  0.250  0.250


Record 9
Compound: CaZrTeN2
Source: the Alexandria database
Functional: meta-GGA SCAN
Structure: PBEsol geometry

Results
Uncorrected energy (eV per atom): -18.308
Excess energy over the best structure of this formula in the dataset (kcal/mol of atoms): 33.046
Uncorrected formation energy (meV per atom): 931
M_tot (μB/f.u.): 2.1

a = 4.289 Å, b = 4.289 Å, c = 5.617 Å
α = 90.00°, β = 90.00°, γ = 90.00°
Fractional coordinates of all 5 atoms:
Zr  0.500  0.500  0.500
N  0.500  0.000  0.000
N  0.000  0.500  0.000
Ca  0.000  0.000  0.000
Te  0.000  0.000  0.500


Record 10
Compound: LiTa2Re
Source: the Alexandria database
Functional: meta-GGA SCAN
Structure: PBEsol geometry

Results
Uncorrected energy (eV per atom): -51.557
Formation energy (kJ per mole of atoms): 10.3
M_tot (μB/f.u.): 0.0

a = 2.696 Å, b = 4.512 Å, c = 5.251 Å
α = 90.00°, β = 99.09°, γ = 90.00°
Fractional coordinates of all 4 atoms:
Ta  0.033  0.000  0.982
Ta  0.732  0.500  0.260
Re  0.272  0.500  0.757
Li  0.463  0.000  0.500


Record 11
Compound: NiRuC3
Source: the Alexandria database
Functional: meta-GGA SCAN
Structure: PBEsol geometry

Results
Uncorrected energy (eV per atom): -13.824
Formation energy (kJ per mole of atoms): 235.0
M_tot (μB/f.u.): 0.0

a = 3.637 Å, b = 3.637 Å, c = 3.637 Å
α = 90.00°, β = 90.00°, γ = 90.00°
Fractional coordinates of all 5 atoms:
C  0.000  0.000  0.500
C  0.500  0.000  0.000
C  0.000  0.500  0.000
Ru  0.500  0.500  0.500
Ni  0.000  0.000  0.000


Record 12
Compound: AsPbSBr2
Source: the Alexandria database
Functional: meta-GGA SCAN
Structure: PBEsol geometry

Results
Uncorrected energy (eV per atom): -28.281
Uncorrected formation energy (meV per atom): 622
M_tot (μB/f.u.): 2.0

a = 5.453 Å, b = 5.453 Å, c = 5.703 Å
α = 90.00°, β = 90.00°, γ = 90.00°
Fractional coordinates of all 5 atoms:
As  0.000  0.000  0.500
Br  0.500  0.000  0.000
Br  0.000  0.500  0.000
Pb  0.000  0.000  0.000
S  0.500  0.500  0.500


Record 13
Compound: KZn2Ni
Source: the Alexandria database
Functional: meta-GGA SCAN
Structure: PBEsol geometry

Results
Uncorrected energy (eV per atom): -12.209
Excess energy over the best structure of this formula in the dataset (kcal/mol of atoms): 9.044
Formation energy (kJ per mole of atoms): 65.0
M_tot (μB/f.u.): 0.0

a = 4.657 Å, b = 4.666 Å, c = 4.657 Å
α = 60.06°, β = 90.00°, γ = 119.94°
Fractional coordinates of all 4 atoms:
Zn  0.250  0.500  0.250
Zn  0.000  0.000  0.000
K  0.500  0.000  0.500
Ni  0.750  0.500  0.750


Record 14
Compound: Tl4SbP
Source: the Alexandria database
Functional: meta-GGA SCAN
Structure: PBEsol geometry

Results
Uncorrected energy (eV per atom): -55.642
Uncorrected formation energy (meV per atom): 540
M_tot (μB/f.u.): 0.0

a = 6.175 Å, b = 6.175 Å, c = 6.175 Å
α = 60.00°, β = 60.00°, γ = 60.00°
Fractional coordinates of all 6 atoms:
Tl  0.375  0.375  0.874
Tl  0.874  0.375  0.375
Tl  0.375  0.375  0.375
Tl  0.375  0.874  0.375
P  0.750  0.750  0.750
Sb  0.000  0.000  0.000


Record 15
Compound: AuSeBr2
Source: the Alexandria database
Functional: meta-GGA SCAN
Structure: PBEsol geometry

Results
Uncorrected energy (eV per atom): -31.715
Excess energy over the best structure of this formula in the dataset (kcal/mol of atoms): 6.992
Uncorrected formation energy (meV per atom): 324
M_tot (μB/f.u.): 0.0

a = 3.936 Å, b = 4.982 Å, c = 4.983 Å
α = 84.16°, β = 90.00°, γ = 90.00°
Fractional coordinates of all 4 atoms:
Se  0.500  0.000  0.000
Au  0.500  0.500  0.500
Br  0.000  0.736  0.736
Br  0.000  0.264  0.264